[1]
PBE Er2Zn3Hg, optimized geometry; polymorph energy (0 for the lowest one) = 107 meV/atom; E_form = -0.2802 eV/atom; DOS at the Fermi energy = 5.0 states/eV per cell; calculated total energy = -2.488 eV/atom
1.0
-2.011 2.031 8.063
2.011 -2.031 8.063
2.011 2.031 -8.063
Er Zn Hg
2 3 1
Direct
0.000 0.000 0.000
0.772 0.272 0.500
0.193 0.693 0.500
0.345 0.845 0.500
0.427 0.427 0.000
0.592 0.592 0.000

***

[2]
PBE TcSe2Cl, optimized geometry; polymorph energy (0 for the lowest one) = 665 meV/atom; DOS at the Fermi energy = 4.4 states/eV per cell; calculated total energy = -4.350 eV/atom; formation energy from raw total energies = 0.4453 eV/atom
1.0
1.420 0.820 12.145
-1.420 0.820 12.145
0.000 -1.640 12.145
Tc Se Cl
1 2 1
Direct
0.000 0.000 0.000
0.068 0.068 0.068
0.932 0.932 0.932
0.500 0.500 0.500

***

[3]
PBE KCuAsSe2, optimized geometry; polymorph energy (0 for the lowest one) = 286 meV/atom; DOS at the Fermi energy = 3.1 states/eV per cell; calculated total energy = -3.403 eV/atom; formation energy from raw total energies = -0.0402 eV/atom
1.0
5.132 0.000 0.000
0.000 5.132 0.000
0.000 0.000 4.617
K Cu As Se
1 1 1 2
Direct
0.000 0.000 0.000
0.500 0.500 0.500
0.500 0.500 0.000
0.000 0.500 0.500
0.500 0.000 0.500

***

[4]
PBE Li2UTi2S6, optimized geometry; DOS at the Fermi energy = 6.3 states/eV per cell; calculated total energy = -6.449 eV/atom; formation energy from raw total energies = -1.3879 eV/atom
1.0
3.122 -5.465 0.000
3.122 5.465 0.000
-2.094 0.000 6.196
Li U Ti S
2 1 2 6
Direct
0.165 0.835 0.000
0.835 0.165 0.000
0.000 0.000 0.500
0.335 0.665 0.500
0.665 0.335 0.500
0.074 0.428 0.736
0.272 0.272 0.262
0.428 0.074 0.736
0.572 0.926 0.264
0.728 0.728 0.738
0.926 0.572 0.264

***

[5]
PBE Pb4BrF6, optimized geometry; DOS at the Fermi energy = 2.9 states/eV per cell; calculated total energy = -4.464 eV/atom; formation energy from raw total energies = -1.9428 eV/atom
1.0
7.646 0.000 0.000
-3.823 6.622 0.000
0.000 0.000 4.031
Pb Br F
4 1 6
Direct
0.000 0.000 0.000
0.036 0.518 0.500
0.482 0.518 0.500
0.482 0.964 0.500
0.667 0.333 0.000
0.198 0.397 0.000
0.198 0.802 0.000
0.262 0.131 0.500
0.603 0.802 0.000
0.869 0.131 0.500
0.869 0.738 0.500

***

[6]
PBE Pu2SiOs, optimized geometry; polymorph energy (0 for the lowest one) = 342 meV/atom; DOS at the Fermi energy = 7.1 states/eV per cell; calculated total energy = -11.239 eV/atom; formation energy from raw total energies = 0.0904 eV/atom
1.0
3.557 0.000 0.000
0.000 3.557 0.000
0.000 0.000 4.950
Pu Si Os
2 1 1
Direct
0.000 0.500 0.000
0.500 0.000 0.000
0.000 0.000 0.500
0.500 0.500 0.500

***

[7]
PBE NbP2O7, optimized geometry; DOS at the Fermi energy = 18.1 states/eV per cell; calculated total energy = -7.809 eV/atom; formation energy from raw total energies = -2.2490 eV/atom
1.0
8.448 0.000 0.000
0.000 8.448 0.000
0.000 0.000 8.448
Nb P O
4 8 28
Direct
0.000 0.000 0.000
0.000 0.500 0.500
0.500 0.000 0.500
0.500 0.500 0.000
0.108 0.608 0.892
0.108 0.892 0.392
0.392 0.108 0.892
0.392 0.392 0.392
0.608 0.608 0.608
0.608 0.892 0.108
0.892 0.108 0.608
0.892 0.392 0.108
0.000 0.000 0.500
0.000 0.500 0.000
0.058 0.721 0.420
0.058 0.779 0.920
0.080 0.558 0.721
0.080 0.942 0.221
0.221 0.080 0.942
0.221 0.420 0.442
0.279 0.580 0.942
0.279 0.920 0.442
0.420 0.058 0.721
0.420 0.442 0.221
0.442 0.221 0.420
0.442 0.279 0.920
0.500 0.000 0.000
0.500 0.500 0.500
0.558 0.721 0.080
0.558 0.779 0.580
0.580 0.558 0.779
0.580 0.942 0.279
0.721 0.080 0.558
0.721 0.420 0.058
0.779 0.580 0.558
0.779 0.920 0.058
0.920 0.058 0.779
0.920 0.442 0.279
0.942 0.221 0.080
0.942 0.279 0.580

***

[8]
PBE LiRhW2, optimized geometry; polymorph energy (0 for the lowest one) = 33 meV/atom; E_form = 0.1577 eV/atom; DOS at the Fermi energy = 3.0 states/eV per cell; calculated total energy = -8.635 eV/atom
1.0
2.700 0.000 0.000
0.000 4.258 0.000
-0.682 0.000 5.089
Li Rh W
1 1 2
Direct
0.000 0.000 0.000
0.866 0.500 0.245
0.317 0.500 0.772
0.544 0.000 0.494

***

[9]
PBE Dy2TlSe, optimized geometry; polymorph energy (0 for the lowest one) = 46 meV/atom; DOS at the Fermi energy = 2.9 states/eV per cell; calculated total energy = -4.765 eV/atom; formation energy from raw total energies = -1.0011 eV/atom
1.0
1.944 1.122 8.257
-1.944 1.122 8.257
0.000 -2.244 8.257
Dy Tl Se
2 1 1
Direct
0.000 0.000 0.000
0.192 0.192 0.192
0.429 0.429 0.429
0.597 0.597 0.597

***

[10]
PBE CeNdCu2, optimized geometry; polymorph energy (0 for the lowest one) = 29 meV/atom; E_form = -0.0626 eV/atom; DOS at the Fermi energy = 8.0 states/eV per cell; calculated total energy = -4.786 eV/atom
1.0
0.000 3.562 3.562
3.562 0.000 3.562
3.562 3.562 0.000
Ce Nd Cu
1 1 2
Direct
0.000 0.000 0.000
0.500 0.500 0.500
0.250 0.250 0.250
0.750 0.750 0.750

***

[11]
PBE AcTbNb2O8, optimized geometry; DOS at the Fermi energy = 0.0 states/eV per cell; calculated total energy = -8.786 eV/atom; formation energy from raw total energies = -3.0742 eV/atom
1.0
-2.710 2.710 5.829
2.710 -2.710 5.829
2.710 2.710 -5.829
Ac Tb Nb O
1 1 2 8
Direct
0.000 0.000 0.000
0.250 0.750 0.500
0.500 0.500 0.000
0.750 0.250 0.500
0.006 0.085 0.428
0.261 0.661 0.101
0.339 0.441 0.600
0.422 0.994 0.079
0.559 0.159 0.899
0.657 0.578 0.572
0.841 0.739 0.400
0.915 0.343 0.921

***

[12]
PBE LiSn2Ru, optimized geometry; E_form = -0.0573 eV/atom; DOS at the Fermi energy = 2.6 states/eV per cell; calculated total energy = -4.856 eV/atom
1.0
4.639 0.000 0.000
0.000 4.639 0.000
0.000 0.000 3.308
Li Sn Ru
1 2 1
Direct
0.000 0.000 0.000
0.000 0.500 0.500
0.500 0.000 0.500
0.500 0.500 0.000

***

[13]
PBE TbNdGdAg, optimized geometry; E_form = 0.0663 eV/atom; DOS at the Fermi energy = 6.4 states/eV per cell; calculated total energy = -6.516 eV/atom
1.0
0.000 3.846 3.846
3.846 0.000 3.846
3.846 3.846 0.000
Tb Nd Gd Ag
1 1 1 1
Direct
0.000 0.000 0.000
0.500 0.500 0.500
0.750 0.750 0.750
0.250 0.250 0.250

***

[14]
PBE EuHoCo4, optimized geometry; E_form = -0.0661 eV/atom; DOS at the Fermi energy = 9.5 states/eV per cell; calculated total energy = -7.279 eV/atom
1.0
0.000 3.613 3.613
3.613 0.000 3.613
3.613 3.613 0.000
Eu Ho Co
1 1 4
Direct
0.000 0.000 0.000
0.250 0.250 0.250
0.127 0.624 0.624
0.624 0.127 0.624
0.624 0.624 0.127
0.624 0.624 0.624

***

[15]
PBE BiPbF6, optimized geometry; polymorph energy (0 for the lowest one) = 0 meV/atom; DOS at the Fermi energy = 2.2 states/eV per cell; calculated total energy = -4.538 eV/atom; formation energy from raw total energies = -2.1859 eV/atom
1.0
4.185 -3.336 0.000
4.185 3.336 0.000
-2.169 0.000 5.342
Bi Pb F
1 1 6
Direct
0.000 0.000 0.000
0.500 0.500 0.500
0.158 0.698 0.700
0.281 0.281 0.089
0.302 0.842 0.300
0.698 0.158 0.700
0.719 0.719 0.911
0.842 0.302 0.300

***

[16]
PBE AlTc2IN, optimized geometry; DOS at the Fermi energy = 8.3 states/eV per cell; calculated total energy = -4.245 eV/atom; formation energy from raw total energies = 2.6249 eV/atom
1.0
4.738 0.000 0.000
0.000 4.738 0.000
0.000 0.000 5.168
Al Tc I N
1 2 1 1
Direct
0.000 0.000 0.000
0.000 0.500 0.000
0.500 0.000 0.000
0.000 0.000 0.500
0.500 0.500 0.500

***

[17]
PBE SrLa2Hg, optimized geometry; E_form = -0.0706 eV/atom; DOS at the Fermi energy = 6.0 states/eV per cell; calculated total energy = -3.030 eV/atom
1.0
-2.501 2.501 5.327
2.501 -2.501 5.327
2.501 2.501 -5.327
Sr La Hg
1 2 1
Direct
0.000 0.000 0.000
0.250 0.750 0.500
0.750 0.250 0.500
0.500 0.500 0.000

***

[18]
PBE BaTcIr, optimized geometry; polymorph energy (0 for the lowest one) = 74 meV/atom; E_form = 0.1581 eV/atom; DOS at the Fermi energy = 5.0 states/eV per cell; calculated total energy = -6.892 eV/atom
1.0
4.470 0.000 0.000
0.000 4.310 0.000
-0.511 0.000 8.568
Ba Tc Ir
2 2 2
Direct
0.000 0.000 0.000
0.478 0.500 0.648
0.047 0.500 0.319
0.916 0.000 0.454
0.425 0.000 0.328
0.563 0.500 0.179

***

[19]
PBE HfBe2VZn, optimized geometry; E_form = 0.8104 eV/atom; DOS at the Fermi energy = 3.5 states/eV per cell; calculated total energy = -4.749 eV/atom
1.0
4.168 0.000 0.000
0.000 4.168 0.000
0.000 0.000 4.476
Hf Be V Zn
1 2 1 1
Direct
0.000 0.000 0.000
0.000 0.500 0.500
0.500 0.000 0.500
0.500 0.500 0.500
0.500 0.500 0.000

***

[20]
PBE Cs2PrHf2O7, optimized geometry; DOS at the Fermi energy = 8.6 states/eV per cell; calculated total energy = -7.875 eV/atom; formation energy from raw total energies = -2.7835 eV/atom
1.0
-2.054 2.054 12.445
2.054 -2.054 12.445
2.054 2.054 -12.445
Cs Pr Hf O
2 1 2 7
Direct
0.192 0.192 0.000
0.808 0.808 0.000
0.000 0.000 0.000
0.414 0.414 0.000
0.586 0.586 0.000
0.070 0.570 0.500
0.335 0.335 0.000
0.430 0.930 0.500
0.500 0.500 0.000
0.570 0.070 0.500
0.665 0.665 0.000
0.930 0.430 0.500

***

[21]
PBE Cs3NpRh3Se8, optimized geometry; DOS at the Fermi energy = 4.5 states/eV per cell; calculated total energy = -5.142 eV/atom; formation energy from raw total energies = -0.7801 eV/atom
1.0
3.856 2.226 8.213
-3.856 2.226 8.213
0.000 -4.453 8.213
Cs Np Rh Se
3 1 3 8
Direct
0.000 0.500 0.500
0.500 0.000 0.500
0.500 0.500 0.000
0.500 0.500 0.500
0.000 0.000 0.500
0.000 0.500 0.000
0.500 0.000 0.000
0.194 0.741 0.741
0.217 0.217 0.217
0.259 0.259 0.806
0.259 0.806 0.259
0.741 0.194 0.741
0.741 0.741 0.194
0.783 0.783 0.783
0.806 0.259 0.259

***

[22]
PBE Tb6HgBi2, optimized geometry; E_form = -0.4893 eV/atom; DOS at the Fermi energy = 11.0 states/eV per cell; calculated total energy = -4.472 eV/atom
1.0
8.563 0.000 0.000
-4.281 7.415 0.000
0.000 0.000 4.232
Tb Hg Bi
6 1 2
Direct
0.000 0.254 0.000
0.000 0.599 0.500
0.254 0.000 0.000
0.401 0.401 0.500
0.599 0.000 0.500
0.746 0.746 0.000
0.000 0.000 0.500
0.333 0.667 0.000
0.667 0.333 0.000

***

[23]
PBE PuCdSnHg, optimized geometry; polymorph energy (0 for the lowest one) = 16 meV/atom; E_form = -0.1685 eV/atom; DOS at the Fermi energy = 12.7 states/eV per cell; calculated total energy = -5.056 eV/atom
1.0
0.000 3.691 3.691
3.691 0.000 3.691
3.691 3.691 0.000
Pu Cd Sn Hg
1 1 1 1
Direct
0.000 0.000 0.000
0.500 0.500 0.500
0.750 0.750 0.750
0.250 0.250 0.250

***

[24]
PBE Sb2PWI, optimized geometry; polymorph energy (0 for the lowest one) = 0 meV/atom; DOS at the Fermi energy = 4.7 states/eV per cell; calculated total energy = -4.520 eV/atom; formation energy from raw total energies = 1.1111 eV/atom
1.0
5.263 0.000 0.000
0.000 5.263 0.000
0.000 0.000 5.386
Sb P W I
2 1 1 1
Direct
0.000 0.500 0.000
0.500 0.000 0.000
0.000 0.000 0.500
0.500 0.500 0.000
0.500 0.500 0.500

***

[25]
PBE ZrSi2Ag, optimized geometry; DOS at the Fermi energy = 2.0 states/eV per cell; calculated total energy = -5.664 eV/atom; formation energy from raw total energies = -0.1023 eV/atom
1.0
3.579 0.000 0.000
0.000 3.579 0.000
0.000 0.000 5.506
Zr Si Ag
1 2 1
Direct
0.000 0.000 0.000
0.000 0.000 0.517
0.500 0.500 0.797
0.500 0.500 0.319